1.
This record from the Alexandria database describes a relaxed structure of MgMn2NiS. The functional is PBE-GGA.

Properties
**Space group**: No. 123
**Energy relative to the elements, uncorrected**: 1304 meV per atom

a = 4.822 Å, b = 4.307 Å, c = 4.822 Å
α = 90.00°, β = 90.00°, γ = 90.00°
Last column: magnetic moment on the atom in μB.
Element x y z (fractional)
Ni 0.000 0.500 0.000  0.04
Mn 0.500 0.000 0.000  3.85
S 0.500 0.500 0.500  -0.04
Mn 0.000 0.000 0.500  3.92
Mg 0.000 0.000 0.000  -0.05



2.
This record from the Alexandria database describes a relaxed structure of Mg2MnNi3S8. The functional is PBE-GGA.

Properties
**Space group**: No. 166
**Energy relative to the elements, uncorrected**: -554 meV per atom

a = 7.050 Å, b = 7.050 Å, c = 7.050 Å
α = 59.74°, β = 59.74°, γ = 59.74°
Last column: magnetic moment on the atom in μB.
Element x y z (fractional)
Ni 0.500 0.000 0.000  -0.48
S 0.233 0.796 0.233  -0.07
Ni 0.000 0.000 0.500  -0.48
Mg 0.371 0.371 0.371  -0.01
S 0.769 0.769 0.769  -0.08
S 0.233 0.233 0.796  -0.07
S 0.767 0.767 0.204  -0.07
S 0.204 0.767 0.767  -0.07
Mn 0.000 0.000 0.000  2.38
Ni 0.000 0.500 0.000  -0.48
Mg 0.629 0.629 0.629  -0.01
S 0.767 0.204 0.767  -0.07
S 0.796 0.233 0.233  -0.07
S 0.231 0.231 0.231  -0.08



3.
This record from the Alexandria database describes a relaxed structure of MgMnSiNi2. The functional is PBE-GGA.

Properties
**Space group**: No. 123
**Energy relative to the elements, uncorrected**: 1108 meV per atom

a = 4.260 Å, b = 4.674 Å, c = 4.260 Å
α = 90.00°, β = 90.00°, γ = 90.00°
Last column: magnetic moment on the atom in μB.
Element x y z (fractional)
Ni 0.500 0.000 0.000  0.04
Mg 0.000 0.500 0.000  0.00
Si 0.500 0.500 0.500  0.00
Ni 0.000 0.000 0.500  0.06
Mn 0.000 0.000 0.000  0.30



4.
This record from the Alexandria database describes a relaxed structure of Mg2TaMnNi. The functional is PBE-GGA.

Properties
**ΔE_f**: 1.00 eV/atom
**Space group**: No. 123

a = 4.387 Å, b = 4.461 Å, c = 4.387 Å
α = 90.00°, β = 90.00°, γ = 90.00°
Element x y z (fractional)
Mg 0.000 0.000 0.500
Mn 0.000 0.500 0.000
Mg 0.500 0.000 0.000
Ta 0.500 0.500 0.500
Ni 0.000 0.000 0.000



5.
This record from the Alexandria database describes a relaxed structure of MgTa2MnNi. The functional is PBE-GGA.

Properties
**ΔE_f**: 0.80 eV/atom
**Space group**: No. 123

a = 4.534 Å, b = 4.508 Å, c = 4.534 Å
α = 90.00°, β = 90.00°, γ = 90.00°
Element x y z (fractional)
Ta 0.500 0.000 0.000
Mg 0.500 0.500 0.500
Ta 0.000 0.000 0.500
Mn 0.000 0.000 0.000
Ni 0.000 0.500 0.000



6.
This record from the Alexandria database describes a relaxed structure of MgTa2MnNi. The functional is PBE-GGA.

Properties
**ΔE_f**: 1.98 eV/atom
**Space group**: No. 123

a = 4.709 Å, b = 4.018 Å, c = 4.709 Å
α = 90.00°, β = 90.00°, γ = 90.00°
Element x y z (fractional)
Ta 0.500 0.000 0.000
Mg 0.000 0.000 0.000
Ni 0.000 0.500 0.000
Ta 0.000 0.000 0.500
Mn 0.500 0.500 0.500



7.
This record from the Alexandria database describes a relaxed structure of MgMn2VNi. The functional is PBE-GGA.

Properties
**ΔE_f**: 1.78 eV/atom
**Space group**: No. 123

a = 4.257 Å, b = 4.062 Å, c = 4.257 Å
α = 90.00°, β = 90.00°, γ = 90.00°
Element x y z (fractional)
Mn 0.000 0.000 0.500
Mg 0.000 0.000 0.000
Mn 0.500 0.000 0.000
V 0.500 0.500 0.500
Ni 0.000 0.500 0.000



8.
This record from the Alexandria database describes a relaxed structure of MgMn2ZnNi. The functional is PBE-GGA.

Properties
**ΔE_f**: 0.58 eV/atom
**Space group**: No. 123

a = 4.542 Å, b = 4.684 Å, c = 4.542 Å
α = 90.00°, β = 90.00°, γ = 90.00°
Last column: magnetic moment on the atom in μB.
Element x y z (fractional)
Ni 0.000 0.000 0.000  0.62
Zn 0.500 0.500 0.500  -0.01
Mn 0.000 0.000 0.500  3.87
Mn 0.500 0.000 0.000  3.78
Mg 0.000 0.500 0.000  -0.04



9.
This record from the Alexandria database describes a relaxed structure of MgNpMn2. The functional is PBE-GGA.

Properties
**ΔE_f**: 0.21 eV/atom
**Space group**: No. 123

a = 3.226 Å, b = 4.447 Å, c = 4.447 Å
α = 90.00°, β = 90.00°, γ = 90.00°
Last column: magnetic moment on the atom in μB.
Element x y z (fractional)
Mn 0.000 0.000 0.500  2.23
Mg 0.500 0.500 0.500  -0.03
Mn 0.000 0.500 0.000  2.23
Np 0.500 0.000 0.000  -3.55



10.
This record from the Alexandria database describes a relaxed structure of MgNpMn. The functional is PBE-GGA.

Properties
**ΔE_f**: 0.13 eV/atom
**Space group**: No. 12

a = 4.307 Å, b = 2.912 Å, c = 12.208 Å
α = 87.55°, β = 90.00°, γ = 137.69°
Last column: magnetic moment on the atom in μB.
Element x y z (fractional)
Mn 0.802 0.604 0.238  0.56
Mg 0.728 0.456 0.605  0.00
Np 0.113 0.226 0.092  -0.43
Np 0.887 0.774 0.908  -0.43
Mg 0.272 0.544 0.395  0.00
Mn 0.198 0.396 0.762  0.56



Calculated N(E_F) (states/eV per atom), listed in the same order as above: 0.95; 0.64; 1.21; 1.65; 1.07; 1.10; 1.30; 0.73; 1.05; 0.95